# 1
The following is a DFT calculation (PBE) of an optimized crystal structure of ZrTiAl2Cd.

Cell lengths 5.2390, 4.7418, 5.2390 Å; angles 90.00, 90.00, 90.00 degrees
Element x y z (fractional)
Al  0.5000  0.0000  0.0000
Al  0.0000  0.0000  0.5000
Ti  0.0000  0.5000  0.0000
Cd  0.5000  0.5000  0.5000
Zr  0.0000  0.0000  0.0000

Values from the calculation:
calculated volume = 130 Å³/cell
uncorrected energy = -4.06 eV/atom

# 2
The following is a DFT calculation (PBE) of an optimized crystal structure of Al2ReOs.

Cell lengths 4.3455, 4.3455, 4.3455 Å; angles 60.00, 60.00, 60.00 degrees
Element x y z (fractional)
Os  0.5000  0.5000  0.5000
Al  0.0000  0.0000  0.0000
Re  0.2500  0.2500  0.2500
Al  0.7500  0.7500  0.7500

Values from the calculation:
calculated volume = 58 Å³/cell
uncorrected energy = -7.78 eV/atom

# 3
The following is a DFT calculation (PBE) of an optimized crystal structure of TlCdIn.

Cell lengths 9.5216, 6.4023, 5.4539 Å; angles 90.00, 90.00, 90.00 degrees
Element x y z (fractional)
In  0.0000  0.5000  0.0000
In  0.0000  0.0000  0.0000
Cd  0.3342  0.7500  0.9999
Tl  0.6669  0.7500  0.0000
Tl  0.3331  0.2500  0.0000
Tl  0.8331  0.2500  0.5000
Cd  0.1658  0.2500  0.4999
Cd  0.6658  0.2500  0.0001
In  0.5000  0.5000  0.5000
In  0.5000  0.0000  0.5000
Cd  0.8342  0.7500  0.5001
Tl  0.1669  0.7500  0.5000

Values from the calculation:
calculated volume = 332 Å³/cell
uncorrected energy = -1.94 eV/atom

# 4
The following is a DFT calculation (PBE) of an optimized crystal structure of Pb3AuSe.

Cell lengths 5.6590, 5.6590, 5.6590 Å; angles 90.00, 90.00, 90.00 degrees
Element x y z (fractional)
Au  0.5000  0.5000  0.5000
Se  0.0000  0.0000  0.0000
Pb  0.0000  0.0000  0.5000
Pb  0.5000  0.0000  0.0000
Pb  0.0000  0.5000  0.0000

Values from the calculation:
calculated volume = 181 Å³/cell
uncorrected energy = -3.18 eV/atom
ΔE_f (raw) = 2.0 eV/f.u.

# 5
The following is a DFT calculation (PBE) of an optimized crystal structure of Ce4ErTh.

Cell lengths 5.9688, 4.8395, 6.8108 Å; angles 89.96, 73.33, 66.04 degrees
Element x y z (fractional)
Ce  0.6609  0.6697  0.8338
Ce  0.3413  0.3293  0.6639
Ce  0.3391  0.3303  0.1662
Er  0.0000  0.0000  0.0000
Ce  0.6587  0.6707  0.3361
Th  0.0000  0.0000  0.5000

Values from the calculation:
calculated volume = 171 Å³/cell
uncorrected energy = -5.89 eV/atom

# 6
The following is a DFT calculation (PBE) of an optimized crystal structure of K2NdAlTe4.

Cell lengths 9.2444, 9.2444, 9.5065 Å; angles 120.94, 120.94, 90.64 degrees
Element x y z (fractional)
Te  0.2138  0.7587  0.9862
Te  0.2439  0.2568  0.4505
Te  0.2587  0.7138  0.4862
Al  0.5000  0.5000  0.5000
K  0.5000  0.0000  0.0000
Nd  0.0000  0.5000  0.5000
K  0.5000  0.0000  0.5000
Te  0.7568  0.7439  0.9505
Te  0.7862  0.2413  0.0138
Nd  0.0000  0.5000  0.0000
K  0.5000  0.5000  0.0000
K  0.0000  0.0000  0.5000
Te  0.2432  0.2561  0.0495
Te  0.7561  0.7432  0.5495
Al  0.0000  0.0000  0.0000
Te  0.7413  0.2862  0.5138

Values from the calculation:
calculated volume = 554 Å³/cell
uncorrected energy = -3.85 eV/atom
ΔE_f (raw) = -7.5 eV/f.u.

Among the records above, which one has the lowest calculated volume?
Al2ReOs

Please write out number 5 again, unchanged.
The following is a DFT calculation (PBE) of an optimized crystal structure of Ce4ErTh.

Cell lengths 5.9688, 4.8395, 6.8108 Å; angles 89.96, 73.33, 66.04 degrees
Element x y z (fractional)
Ce  0.6609  0.6697  0.8338
Ce  0.3413  0.3293  0.6639
Ce  0.3391  0.3303  0.1662
Er  0.0000  0.0000  0.0000
Ce  0.6587  0.6707  0.3361
Th  0.0000  0.0000  0.5000

Values from the calculation:
calculated volume = 171 Å³/cell
uncorrected energy = -5.89 eV/atom

Which of these has the lowest uncorrected energy?
Al2ReOs